Compound: FePCl8
Source: the Alexandria database
Functional: PBE
Structure: relaxed

Calculated values
The value obtained for the total energy is -3.579 eV/atom. The calculation puts the uncorrected formation energy at -0.7147 eV/atom. The space-group type is No. 57.

extended XYZ file:
```
40
Lattice="-4.7949 -3.8843 1.7889 8.7541 -6.2457 9.9024 -4.1236 9.5404 9.6628" Properties=species:S:1:pos:R:3 pbc="T T T"
Fe -2.3758 1.1302 3.0808
Fe -0.2777 2.9325 12.6177
Fe 0.1133 -3.5221 8.7364
Fe 2.2114 -1.7198 18.2733
P -2.4031 -5.2811 4.1887
P 4.3005 -0.0787 12.3340
P 6.3623 -4.8489 7.5026
P -4.4649 -0.5109 9.0201
Cl 5.7630 -6.3772 11.2796
Cl -0.7783 3.2901 14.7377
Cl -0.4492 -1.4201 9.1077
Cl -4.8643 3.3279 7.5833
Cl -5.9274 5.7875 10.0745
Cl 0.6140 -3.8798 6.6164
Cl 0.2848 0.8305 12.2464
Cl 4.6999 -3.9175 13.7708
Cl -1.5461 -0.1569 4.7056
Cl -2.0198 3.4803 11.3334
Cl 1.8555 -4.0699 10.0207
Cl 1.3818 -0.4328 16.6485
Cl -5.5926 -1.3807 4.1871
Cl -3.3697 0.3326 13.8652
Cl 3.2054 -0.9222 7.4889
Cl 5.4282 0.7911 17.1670
Cl 2.1194 -2.1255 4.2014
Cl -3.1692 7.4873 10.8988
Cl 1.4173 -4.4038 14.1755
Cl -0.6962 -2.1372 13.4324
Cl -2.2838 1.5359 17.1527
Cl 3.0049 -8.0769 10.4553
Cl -1.5816 3.8142 7.1786
Cl 0.5318 1.5476 7.9216
Cl -2.4402 -3.3213 4.2628
Cl -4.7932 3.6737 13.1445
Cl 3.3683 -1.3470 11.1634
Cl 3.5364 -0.1847 14.1375
Cl 2.2759 2.7317 17.0913
Cl 4.6289 -4.2633 8.2096
Cl -3.5327 0.7573 10.1907
Cl -3.7007 -0.4049 7.2166
```



Compound: Cs2PmNb2O7
Source: the Alexandria database
Functional: PBE
Structure: relaxed

Calculated values
The value obtained for the total energy is -7.629 eV/atom. The calculation puts the uncorrected formation energy at -2.5202 eV/atom. The space-group type is No. 139.

extended XYZ file:
```
12
Lattice="-1.5217 -3.7725 0.3672 3.7467 -1.4370 0.7615 -0.5969 -0.7557 12.4537" Properties=species:S:1:pos:R:3 pbc="T T T"
Cs 1.5822 -4.5148 5.6026
Cs 0.0458 -1.4504 7.9798
Pm 0.0000 0.0000 0.0000
Nb 0.8057 -3.6739 10.9980
Nb 0.8223 -2.2913 2.5844
O 1.1125 -2.6048 0.5644
O 0.5569 -2.0042 4.4314
O 1.0712 -3.9610 9.1510
O 0.1082 -4.2280 2.4431
O 2.7423 -3.0602 2.6402
O -1.1143 -2.9050 10.9422
O 1.5198 -1.7372 11.1393
```



Compound: BSb2TeSe
Source: the Alexandria database
Functional: PBE
Structure: relaxed

Calculated values
The value obtained for the total energy is -3.591 eV/atom. The calculation puts the uncorrected formation energy at 0.7185 eV/atom. The space-group type is No. 123.

extended XYZ file:
```
5
Lattice="4.9321 0.0000 0.0000 0.0000 4.9321 0.0000 0.0000 0.0000 4.7589" Properties=species:S:1:pos:R:3 pbc="T T T"
Sb 0.0000 2.4660 0.0000
Sb 2.4660 0.0000 0.0000
B 0.0000 0.0000 0.0000
Te 0.0000 0.0000 2.3794
Se 2.4660 2.4660 2.3794
```



Compound: ZrBeO3
Source: the Alexandria database
Functional: PBE
Structure: relaxed

Calculated values
The value obtained for the total energy is -7.875 eV/atom. The calculation puts the uncorrected formation energy at -2.4450 eV/atom. The space-group type is No. 221.

extended XYZ file:
```
5
Lattice="-0.3351 -3.3656 -0.6085 3.3791 -0.2313 -0.5817 0.5288 -0.6550 3.3319" Properties=species:S:1:pos:R:3 pbc="T T T"
Be 0.0000 0.0000 0.0000
O 1.6895 -0.1157 -0.2909
O 0.2644 -0.3275 1.6659
O -0.1676 -1.6828 -0.3042
Zr 1.7863 -2.1260 1.0708
```